The following is a PBE-GGA calculation of an optimized crystal structure of CaTeAu2N, from Alexandria via LeMat-Bulk.

a b c (Å): 4.305 4.305 6.026
angles (deg): 90.00 90.00 90.00
Fractional positions:
Ca 0.000 0.000 0.000
Te 0.500 0.500 0.000
Au 0.000 0.500 0.500
Au 0.500 0.000 0.500
N 0.500 0.500 0.500

- theoretical density (g cm⁻³) = 8.6
- space group = P4/mmm
- DOS(E_F) (states/eV per cell) = 1.46
- E_form (uncorrected) (kJ per mole of atoms) = 11

The following is a PBE-GGA calculation of an optimized crystal structure of CaTe2AuN, from Alexandria via LeMat-Bulk.

a b c (Å): 5.901 5.901 4.020
angles (deg): 90.00 90.00 90.00
Fractional positions:
Ca 0.000 0.000 0.000
Te 0.000 0.500 0.000
Te 0.500 0.000 0.000
Au 0.500 0.500 0.500
N 0.000 0.000 0.500

- theoretical density (g cm⁻³) = 6.0
- energy above the most stable polymorph in this dataset (meV/atom) = 741
- space group = P4/mmm
- DOS(E_F) (states/eV per cell) = 5.10
- E_form (uncorrected) (kJ per mole of atoms) = 93

The following is a PBE-GGA calculation of an optimized crystal structure of CaWAuN2, from Alexandria via LeMat-Bulk.

a b c (Å): 4.148 4.148 5.128
angles (deg): 90.00 90.00 90.00
Fractional positions:
Ca 0.000 0.000 0.000
W 0.500 0.500 0.500
Au 0.000 0.000 0.500
N 0.000 0.500 0.000
N 0.500 0.000 0.000

- theoretical density (g cm⁻³) = 8.4
- space group = P4/mmm
- DOS(E_F) (states/eV per cell) = 7.64
- E_form (uncorrected) (kJ per mole of atoms) = 226

The following is a PBE-GGA calculation of an optimized crystal structure of Ca2YAuN, from Alexandria via LeMat-Bulk.

a b c (Å): 4.865 4.865 4.710
angles (deg): 90.00 90.00 90.00
Fractional positions:
Ca 0.000 0.500 0.000
Ca 0.500 0.000 0.000
Y 0.000 0.000 0.500
Au 0.500 0.500 0.500
N 0.000 0.000 0.000

- theoretical density (g cm⁻³) = 5.7
- space group = P4/mmm
- DOS(E_F) (states/eV per cell) = 4.62
- E_form (uncorrected) (kJ per mole of atoms) = -80

Q: Among the records above, which one has the lowest theoretical density?
A: Ca2YAuN